Ac3La8Ho | GGA-PBE | optimized geometry

Calculated values
Formation energy: 250 kJ/mol of formula units
DOS(E_F): 38.19 states/eV/cell

Unit cell a=6.8986 b=11.8354 c=11.8893 alpha=90.00 beta=90.00 gamma=90.00
Closest atoms and distances in Å follow each position.
Space group Immm (No. 71)
Symmetry-distinct sites (fractional):
Ac 0.0000 0.0000 0.0000  8 La 3.62-3.65
Ac 0.0000 0.2438 0.5000  10 La 3.90-4.21
La 0.0000 0.2556 0.1721  6 La 3.53-3.92, 1 Ho 3.54, 2 Ac 3.65-3.90
La 0.2215 0.0000 0.2763  1 La 3.06, 1 Ho 3.28
Ho 0.0000 0.5000 0.0000  8 La 3.28-3.54